Pm3Ga7Ir2 | Alexandria | PBE-GGA | optimized geometry; crystal system = monoclinic; magnetization = 0.00 μB per formula unit; space group = P2/m (10); electronic total energy = -5.100 eV/atom
1.0
4.275 0.000 0.000
0.000 4.303 0.000
-2.109 0.000 13.412
Pm Ga Ir
3 7 2
Direct
0.000 0.000 0.000
0.319 0.500 0.639
0.681 0.500 0.361
0.083 0.500 0.167
0.224 0.000 0.447
0.418 0.000 0.835
0.500 0.500 0.000
0.582 0.000 0.165
0.776 0.000 0.553
0.917 0.500 0.833
0.129 0.000 0.262
0.871 0.000 0.738

---

PmGa12Ir6 | Alexandria | PBE-GGA | optimized geometry; crystal system = trigonal; magnetization = 0.00 μB per formula unit; space group = R-3m (166); electronic total energy = -5.389 eV/atom
1.0
5.742 3.315 2.872
-5.742 3.315 2.872
0.000 -6.631 2.872
Pm Ga Ir
1 12 6
Direct
0.000 0.000 0.000
0.115 0.500 0.885
0.115 0.885 0.500
0.128 0.404 0.404
0.404 0.128 0.404
0.404 0.404 0.128
0.500 0.115 0.885
0.500 0.885 0.115
0.596 0.596 0.872
0.596 0.872 0.596
0.872 0.596 0.596
0.885 0.115 0.500
0.885 0.500 0.115
0.274 0.274 0.693
0.274 0.693 0.274
0.307 0.726 0.726
0.693 0.274 0.274
0.726 0.307 0.726
0.726 0.726 0.307

---

Pm5GaIr2 | Alexandria | PBE-GGA | optimized geometry; crystal system = tetragonal; magnetization = 0.00 μB per formula unit; space group = I4/mcm (140); electronic total energy = -6.143 eV/atom
1.0
-3.958 3.958 6.773
3.958 -3.958 6.773
3.958 3.958 -6.773
Pm Ga Ir
10 2 4
Direct
0.000 0.000 0.000
0.026 0.526 0.827
0.199 0.026 0.500
0.301 0.801 0.827
0.474 0.301 0.500
0.500 0.500 0.000
0.526 0.699 0.500
0.699 0.199 0.173
0.801 0.974 0.500
0.974 0.474 0.173
0.250 0.250 0.000
0.750 0.750 0.000
0.136 0.364 0.500
0.364 0.864 0.228
0.636 0.136 0.772
0.864 0.636 0.500

---

Pm4GaIr2 | Alexandria | PBE-GGA | optimized geometry; crystal system = tetragonal; energy above the most stable polymorph in this dataset = 70.8 meV/atom; magnetization = 0.00 μB per formula unit; space group = I4_1/amd (141)
1.0
-4.645 4.645 4.616
4.645 -4.645 4.616
4.645 4.645 -4.616
Pm Ga Ir
8 2 4
Direct
0.203 0.267 0.564
0.203 0.639 0.936
0.267 0.203 0.064
0.361 0.797 0.564
0.639 0.203 0.436
0.733 0.797 0.936
0.797 0.361 0.064
0.797 0.733 0.436
0.125 0.875 0.250
0.875 0.125 0.750
0.000 0.500 0.500
0.500 0.000 0.000
0.500 0.500 0.000
0.500 0.500 0.500

---

Fermi-level density of states
In order: 7.66; 6.33; 16.85; 7.33
Unit: states/eV per cell